Entry 1:
# AlReRu2 (PBE, optimized geometry)
data_AlReRu2
_symmetry_space_group_name_H-M 'P 1 2/m 1'
_symmetry_Int_Tables_number 10
_cell_length_a 4.6671
_cell_length_b 2.7692
_cell_length_c 4.8566
_cell_angle_alpha 90.00
_cell_angle_beta 114.08
_cell_angle_gamma 90.00
loop_
_symmetry_equiv_pos_as_xyz
'x,y,z'
'-x,-y,-z'
'-x,y,-z'
'x,-y,z'
loop_
_atom_site_label
_atom_site_type_symbol
_atom_site_fract_x
_atom_site_fract_y
_atom_site_fract_z
_atom_site_occupancy
Al1 Al 0.0000 0.0000 0.0000 1
Re1 Re 0.0000 0.5000 0.5000 1
Ru1 Ru 0.5000 0.0000 0.5000 1
Ru2 Ru 0.5000 0.5000 0.0000 1
# calculated formation energy	-0.0357	eV per atom

Entry 2:
# Tb12Pr7Sc (PBE, optimized geometry)
data_Tb12Pr7Sc
_symmetry_space_group_name_H-M 'I m -3 m'
_symmetry_Int_Tables_number 229
_symmetry_space_group_name_Hall '-I 4 2 3'
_cell_length_a 11.3947
_cell_length_b 11.3947
_cell_length_c 11.3947
_cell_angle_alpha 90.00
_cell_angle_beta 90.00
_cell_angle_gamma 90.00
loop_
_atom_site_label
_atom_site_type_symbol
_atom_site_fract_x
_atom_site_fract_y
_atom_site_fract_z
_atom_site_occupancy
Tb1 Tb 0.0000 0.2415 0.2415 1
Pr1 Pr 0.0000 0.0000 0.5000 1
Pr2 Pr 0.2500 0.2500 0.2500 1
Sc1 Sc 0.0000 0.0000 0.0000 1
# energy above the lowest structure with this stoichiometry	38.84	kJ per mole of atoms
# calculated formation energy	0.6513	eV per atom

Entry 3:
# KMoS2 (PBE, optimized geometry)
data_KMoS2
_symmetry_space_group_name_H-M 'I -4 m 2'
_symmetry_Int_Tables_number 119
_symmetry_space_group_name_Hall 'I -4 -2'
_cell_length_a 3.8032
_cell_length_b 3.8032
_cell_length_c 13.2294
_cell_angle_alpha 90.00
_cell_angle_beta 90.00
_cell_angle_gamma 90.00
loop_
_atom_site_label
_atom_site_type_symbol
_atom_site_fract_x
_atom_site_fract_y
_atom_site_fract_z
_atom_site_occupancy
K1 K 0.0000 0.0000 0.0000 1
Mo1 Mo 0.0000 0.5000 0.7500 1
S1 S 0.0000 0.0000 0.3492 1
# formation energy from raw total energies	-604	meV per atom

Entry 4:
# Rb3YZn (PBE, optimized geometry)
data_Rb3YZn
_symmetry_space_group_name_H-M 'P m -3 m'
_symmetry_Int_Tables_number 221
_symmetry_space_group_name_Hall '-P 4 2 3'
_cell_length_a 6.7420
_cell_length_b 6.7420
_cell_length_c 6.7420
_cell_angle_alpha 90.00
_cell_angle_beta 90.00
_cell_angle_gamma 90.00
loop_
_atom_site_label
_atom_site_type_symbol
_atom_site_fract_x
_atom_site_fract_y
_atom_site_fract_z
_atom_site_occupancy
Rb1 Rb 0.0000 0.0000 0.5000 1
Y1 Y 0.5000 0.5000 0.5000 1
Zn1 Zn 0.0000 0.0000 0.0000 1
# energy above the lowest structure with this stoichiometry	0.00	kJ per mole of atoms
# calculated formation energy	0.6721	eV per atom

Entry 5:
# Hf2Cd3Hg3 (PBE, optimized geometry)
data_Hf2Cd3Hg3
_symmetry_space_group_name_H-M 'R 3 2'
_symmetry_Int_Tables_number 155
_symmetry_space_group_name_Hall 'R 3 2"'
_cell_length_a 7.8786
_cell_length_b 7.8786
_cell_length_c 10.1198
_cell_angle_alpha 90.00
_cell_angle_beta 90.00
_cell_angle_gamma 120.00
loop_
_atom_site_label
_atom_site_type_symbol
_atom_site_fract_x
_atom_site_fract_y
_atom_site_fract_z
_atom_site_occupancy
Hf1 Hf 0.0000 0.0000 0.2131 1
Cd1 Cd 0.0000 0.2331 0.5000 1
Hg1 Hg 0.0000 0.7223 0.0000 1
# calculated formation energy	0.2672	eV per atom

Entry 6:
# DyBe17Ni (PBE, optimized geometry)
data_DyBe17Ni
_symmetry_space_group_name_H-M 'R 3 m'
_symmetry_Int_Tables_number 160
_symmetry_space_group_name_Hall 'R 3 -2"'
_cell_length_a 7.5034
_cell_length_b 7.5034
_cell_length_c 10.9084
_cell_angle_alpha 90.00
_cell_angle_beta 90.00
_cell_angle_gamma 120.00
loop_
_atom_site_label
_atom_site_type_symbol
_atom_site_fract_x
_atom_site_fract_y
_atom_site_fract_z
_atom_site_occupancy
Dy1 Dy 0.0000 0.0000 0.0000 1
Be1 Be 0.0000 0.0000 0.2496 1
Be2 Be 0.0000 0.0000 0.4437 1
Be3 Be 0.0060 0.5030 0.4994 1
Be4 Be 0.0089 0.2982 0.3446 1
Be5 Be 0.0101 0.5050 0.8410 1
Be6 Be 0.0219 0.5110 0.1947 1
Ni1 Ni 0.0000 0.0000 0.6558 1
# calculated formation energy	-0.0517	eV per atom

Entry 7:
# NaBeCu2 (PBE, optimized geometry)
data_NaBeCu2
_symmetry_space_group_name_H-M 'I 41/a m d'
_symmetry_Int_Tables_number 141
_cell_length_a 4.6514
_cell_length_b 4.6514
_cell_length_c 14.8579
_cell_angle_alpha 90.00
_cell_angle_beta 90.00
_cell_angle_gamma 90.00
loop_
_symmetry_equiv_pos_as_xyz
'x,y,z'
'-x,-y,-z'
'-y+1/4,x+3/4,z+1/4'
'y+1/4,-x+3/4,-z+1/4'
'-x+1/2,-y,z+1/2'
'x+1/2,y,-z+1/2'
'y+1/4,-x+1/4,z+3/4'
'-y+1/4,x+1/4,-z+3/4'
'x,-y,-z'
'-x,y,z'
'-y+1/4,-x+1/4,-z+3/4'
'y+1/4,x+1/4,z+3/4'
'-x+1/2,y,-z+1/2'
'x+1/2,-y,z+1/2'
'y+1/4,x+3/4,-z+1/4'
'-y+1/4,-x+3/4,z+1/4'
'x+1/2,y+1/2,z+1/2'
'-x+1/2,-y+1/2,-z+1/2'
'-y+3/4,x+1/4,z+3/4'
'y+3/4,-x+1/4,-z+3/4'
'-x,-y+1/2,z'
'x,y+1/2,-z'
'y+3/4,-x+3/4,z+1/4'
'-y+3/4,x+3/4,-z+1/4'
'x+1/2,-y+1/2,-z+1/2'
'-x+1/2,y+1/2,z+1/2'
'-y+3/4,-x+3/4,-z+1/4'
'y+3/4,x+3/4,z+1/4'
'-x,y+1/2,-z'
'x,-y+1/2,z'
'y+3/4,x+1/4,-z+3/4'
'-y+3/4,-x+1/4,z+3/4'
loop_
_atom_site_label
_atom_site_type_symbol
_atom_site_fract_x
_atom_site_fract_y
_atom_site_fract_z
_atom_site_occupancy
Na1 Na 0.0000 0.2500 0.3750 1
Be1 Be 0.0000 0.2500 0.8750 1
Cu1 Cu 0.0000 0.0000 0.0000 1
# calculated formation energy	0.4615	eV per atom

Entry 8:
# PaGeMo (PBE, optimized geometry)
data_PaGeMo
_symmetry_space_group_name_H-M 'C 1 2/m 1'
_symmetry_Int_Tables_number 12
_cell_length_a 5.7184
_cell_length_b 5.8201
_cell_length_c 7.3262
_cell_angle_alpha 90.00
_cell_angle_beta 99.09
_cell_angle_gamma 90.00
loop_
_symmetry_equiv_pos_as_xyz
'x,y,z'
'-x,-y,-z'
'-x,y,-z'
'x,-y,z'
'x+1/2,y+1/2,z'
'-x+1/2,-y+1/2,-z'
'-x+1/2,y+1/2,-z'
'x+1/2,-y+1/2,z'
loop_
_atom_site_label
_atom_site_type_symbol
_atom_site_fract_x
_atom_site_fract_y
_atom_site_fract_z
_atom_site_occupancy
Pa1 Pa 0.2119 0.0000 0.1496 1
Ge1 Ge 0.2343 0.5000 0.2565 1
Mo1 Mo 0.0000 0.2833 0.5000 1
# calculated formation energy	-0.2251	eV per atom

Entry 9:
# TaTi6Nb2 (PBE, optimized geometry)
data_TaTi6Nb2
_symmetry_space_group_name_H-M 'C 1 2/c 1'
_symmetry_Int_Tables_number 15
_cell_length_a 17.6506
_cell_length_b 7.5264
_cell_length_c 5.0323
_cell_angle_alpha 90.00
_cell_angle_beta 106.53
_cell_angle_gamma 90.00
loop_
_symmetry_equiv_pos_as_xyz
'x,y,z'
'-x,-y,-z'
'-x,y,-z+1/2'
'x,-y,z+1/2'
'x+1/2,y+1/2,z'
'-x+1/2,-y+1/2,-z'
'-x+1/2,y+1/2,-z+1/2'
'x+1/2,-y+1/2,z+1/2'
loop_
_atom_site_label
_atom_site_type_symbol
_atom_site_fract_x
_atom_site_fract_y
_atom_site_fract_z
_atom_site_occupancy
Ta1 Ta 0.0000 0.2497 0.2500 1
Ti1 Ti 0.0828 0.0741 0.7547 1
Ti2 Ti 0.0827 0.4263 0.9115 1
Ti3 Ti 0.1654 0.2501 0.4152 1
Nb1 Nb 0.2501 0.0806 0.0886 1
# calculated formation energy	0.0598	eV per atom

Entry 10:
# TbDy2GaN (PBE, optimized geometry)
data_TbDy2GaN
_symmetry_space_group_name_H-M 'P 4/m m m'
_symmetry_Int_Tables_number 123
_symmetry_space_group_name_Hall '-P 4 2'
_cell_length_a 4.7510
_cell_length_b 4.7510
_cell_length_c 4.7805
_cell_angle_alpha 90.00
_cell_angle_beta 90.00
_cell_angle_gamma 90.00
loop_
_atom_site_label
_atom_site_type_symbol
_atom_site_fract_x
_atom_site_fract_y
_atom_site_fract_z
_atom_site_occupancy
Tb1 Tb 0.0000 0.0000 0.0000 1
Dy1 Dy 0.0000 0.5000 0.5000 1
Ga1 Ga 0.5000 0.5000 0.0000 1
N1 N 0.0000 0.0000 0.5000 1
# formation energy from raw total energies	-970	meV per atom

Entry 11:
# Pm8HoTm6 (PBE, optimized geometry)
data_Pm8HoTm6
_symmetry_space_group_name_H-M 'P -3'
_symmetry_Int_Tables_number 147
_cell_length_a 9.3626
_cell_length_b 9.3626
_cell_length_c 6.5010
_cell_angle_alpha 90.00
_cell_angle_beta 90.00
_cell_angle_gamma 120.00
loop_
_symmetry_equiv_pos_as_xyz
'x,y,z'
'-x,-y,-z'
'-y,x-y,z'
'y,-x+y,-z'
'-x+y,-x,z'
'x-y,x,-z'
loop_
_atom_site_label
_atom_site_type_symbol
_atom_site_fract_x
_atom_site_fract_y
_atom_site_fract_z
_atom_site_occupancy
Pm1 Pm 0.0377 0.7507 0.3325 1
Pm2 Pm 0.3333 0.6667 0.3783 1
Ho1 Ho 0.0000 0.0000 0.0000 1
Tm1 Tm 0.0952 0.6563 0.8417 1
# calculated formation energy	0.1789	eV per atom

Entry 12:
# BeHgOs2 (PBE, optimized geometry)
data_BeHgOs2
_symmetry_space_group_name_H-M 'I m m 2'
_symmetry_Int_Tables_number 44
_cell_length_a 3.0005
_cell_length_b 4.4512
_cell_length_c 8.5793
_cell_angle_alpha 90.00
_cell_angle_beta 90.00
_cell_angle_gamma 90.00
loop_
_symmetry_equiv_pos_as_xyz
'x,y,z'
'-x,-y,z'
'-x,y,z'
'x,-y,z'
'x+1/2,y+1/2,z+1/2'
'-x+1/2,-y+1/2,z+1/2'
'-x+1/2,y+1/2,z+1/2'
'x+1/2,-y+1/2,z+1/2'
loop_
_atom_site_label
_atom_site_type_symbol
_atom_site_fract_x
_atom_site_fract_y
_atom_site_fract_z
_atom_site_occupancy
Be1 Be 0.0000 0.0000 0.0000 1
Hg1 Hg 0.0000 0.5000 0.7347 1
Os1 Os 0.0000 0.0000 0.5215 1
Os2 Os 0.0000 0.5000 0.2860 1
# energy above the lowest structure with this stoichiometry	41.32	kJ per mole of atoms
# calculated formation energy	0.6986	eV per atom